# 1
A plane-wave DFT calculation with GGA-PBE was carried out for a relaxed structure of Y2AgPd5.

CIF file:
```
data_Y2AgPd5
_chemical_formula_sum 'Y2 Ag1 Pd5'
_cell_length_a 5.818
_cell_length_b 5.818
_cell_length_c 5.816
_cell_angle_alpha 118.53
_cell_angle_beta 118.53
_cell_angle_gamma 92.57
_space_group_name_H-M_alt 'P 1'
_space_group_IT_number 1
loop_
_space_group_symop_operation_xyz
'x,y,z'
loop_
_atom_site_label
_atom_site_type_symbol
_atom_site_fract_x
_atom_site_fract_y
_atom_site_fract_z
Ag1 Ag 0.222 0.222 0.000
Pd1 Pd 0.722 0.222 0.000
Pd2 Pd 0.222 0.722 0.000
Pd3 Pd 0.722 0.722 0.000
Pd4 Pd 0.722 0.722 0.500
Pd5 Pd 0.222 0.222 0.500
Y1 Y 0.722 0.222 0.500
Y2 Y 0.222 0.722 0.500
```

Values from the calculation:
The calculation puts the formation energy at -0.8022 eV/atom. The calculated total energy is -48.0 eV/cell. The calculation puts the spin magnetization at 0.00 μB per cell.



# 2
A plane-wave DFT calculation with GGA-PBE was carried out for a relaxed structure of YAgPd.

CIF file:
```
data_YAgPd
_chemical_formula_sum 'Y1 Ag1 Pd1'
_cell_length_a 4.626
_cell_length_b 4.626
_cell_length_c 4.626
_cell_angle_alpha 60.00
_cell_angle_beta 60.00
_cell_angle_gamma 60.00
_space_group_name_H-M_alt 'P 1'
_space_group_IT_number 1
loop_
_space_group_symop_operation_xyz
'x,y,z'
loop_
_atom_site_label
_atom_site_type_symbol
_atom_site_fract_x
_atom_site_fract_y
_atom_site_fract_z
Ag1 Ag 0.250 0.250 0.250
Pd1 Pd 0.000 0.000 0.000
Y1 Y 0.750 0.750 0.750
```

Values from the calculation:
The calculation puts the polymorph energy (0 for the lowest one) at 0.000 eV/atom. The calculation puts the formation energy at -0.4757 eV/atom. The calculated total energy is -15.9 eV/cell. The calculation puts the spin magnetization at 0.00 μB per cell.



# 3
A plane-wave DFT calculation with GGA-PBE was carried out for a relaxed structure of Y2AgPd2.

CIF file:
```
data_Y2AgPd2
_chemical_formula_sum 'Y2 Ag1 Pd2'
_cell_length_a 6.298
_cell_length_b 6.298
_cell_length_c 6.298
_cell_angle_alpha 135.32
_cell_angle_beta 135.32
_cell_angle_gamma 65.04
_space_group_name_H-M_alt 'P 1'
_space_group_IT_number 1
loop_
_space_group_symop_operation_xyz
'x,y,z'
loop_
_atom_site_label
_atom_site_type_symbol
_atom_site_fract_x
_atom_site_fract_y
_atom_site_fract_z
Ag1 Ag 0.000 0.000 0.000
Pd1 Pd 0.382 0.382 0.000
Pd2 Pd 0.618 0.618 0.000
Y1 Y 0.750 0.250 0.500
Y2 Y 0.250 0.750 0.500
```

Values from the calculation:
The calculation puts the polymorph energy (0 for the lowest one) at 0.420 eV/atom. The calculation puts the formation energy at -0.3329 eV/atom. The calculated total energy is -27.8 eV/cell. The calculation puts the spin magnetization at 0.00 μB per cell.



# 4
A plane-wave DFT calculation with GGA-PBE was carried out for a relaxed structure of ZnAgPd.

CIF file:
```
data_ZnAgPd
_chemical_formula_sum 'Zn1 Ag1 Pd1'
_cell_length_a 4.330
_cell_length_b 4.330
_cell_length_c 4.330
_cell_angle_alpha 60.00
_cell_angle_beta 60.00
_cell_angle_gamma 60.00
_space_group_name_H-M_alt 'P 1'
_space_group_IT_number 1
loop_
_space_group_symop_operation_xyz
'x,y,z'
loop_
_atom_site_label
_atom_site_type_symbol
_atom_site_fract_x
_atom_site_fract_y
_atom_site_fract_z
Ag1 Ag 0.250 0.250 0.250
Pd1 Pd 0.000 0.000 0.000
Zn1 Zn 0.750 0.750 0.750
```

Values from the calculation:
The calculation puts the polymorph energy (0 for the lowest one) at 0.000 eV/atom. The calculation puts the formation energy at 0.0065 eV/atom. The calculated total energy is -9.2 eV/cell.



# 5
A plane-wave DFT calculation with GGA-PBE was carried out for a relaxed structure of Zn2AgPd.

CIF file:
```
data_Zn2AgPd
_chemical_formula_sum 'Zn2 Ag1 Pd1'
_cell_length_a 4.439
_cell_length_b 4.439
_cell_length_c 4.439
_cell_angle_alpha 60.00
_cell_angle_beta 60.00
_cell_angle_gamma 60.00
_space_group_name_H-M_alt 'P 1'
_space_group_IT_number 1
loop_
_space_group_symop_operation_xyz
'x,y,z'
loop_
_atom_site_label
_atom_site_type_symbol
_atom_site_fract_x
_atom_site_fract_y
_atom_site_fract_z
Ag1 Ag 0.250 0.250 0.250
Pd1 Pd 0.500 0.500 0.500
Zn1 Zn 0.000 0.000 0.000
Zn2 Zn 0.750 0.750 0.750
```

Values from the calculation:
The calculation puts the formation energy at -0.1885 eV/atom. The calculated total energy is -11.3 eV/cell.



# 6
A plane-wave DFT calculation with GGA-PBE was carried out for a relaxed structure of ZrAgPd2.

CIF file:
```
data_ZrAgPd2
_chemical_formula_sum 'Zr1 Ag1 Pd2'
_cell_length_a 4.607
_cell_length_b 4.607
_cell_length_c 4.607
_cell_angle_alpha 60.00
_cell_angle_beta 60.00
_cell_angle_gamma 60.00
_space_group_name_H-M_alt 'P 1'
_space_group_IT_number 1
loop_
_space_group_symop_operation_xyz
'x,y,z'
loop_
_atom_site_label
_atom_site_type_symbol
_atom_site_fract_x
_atom_site_fract_y
_atom_site_fract_z
Ag1 Ag 0.500 0.500 0.500
Pd1 Pd 0.000 0.000 0.000
Pd2 Pd 0.250 0.250 0.250
Zr1 Zr 0.750 0.750 0.750
```

Values from the calculation:
The calculation puts the formation energy at -0.3456 eV/atom. The calculated total energy is -23.1 eV/cell. The calculation puts the spin magnetization at 0.01 μB per cell.